! Pa2Pt2Au, relaxed, DFT PBE; values from VASP
! Density of states at the Fermi level in states/eV/f.u.: 6.175
! Energy of formation from the pure elements in meV/atom: -842.6
! Electronic total energy in eV for the cell shown: -77.13
&SYSTEM
  ibrav = 0, nat = 10, ntyp = 3
/
ATOMIC_SPECIES
Pa 231.04 Pa.upf
Pt 195.08 Pt.upf
Au 196.97 Au.upf
CELL_PARAMETERS angstrom
7.728 0.000 0.000
0.000 7.728 0.000
0.000 0.000 3.657
ATOMIC_POSITIONS crystal
Pa 0.173 0.327 0.000
Pa 0.327 0.827 0.000
Pa 0.673 0.173 0.000
Pa 0.827 0.673 0.000
Pt 0.130 0.630 0.500
Pt 0.370 0.130 0.500
Pt 0.630 0.870 0.500
Pt 0.870 0.370 0.500
Au 0.000 0.000 0.500
Au 0.500 0.500 0.500